Entry 1:
# Dy3In2SnPdPt2 PBE relaxed
data_Dy3In2SnPdPt2
_chemical_formula_sum 'Dy3 In2 Sn1 Pd1 Pt2'
_space_group_name_H-M_alt 'P 1'
_space_group_IT_number 1
_space_group_name_Hall 'P 1'
_cell_length_a 3.881
_cell_length_b 7.649
_cell_length_c 7.649
_cell_angle_alpha 119.94
_cell_angle_beta 90.00
_cell_angle_gamma 90.00
loop_
_atom_site_label
_atom_site_fract_x
_atom_site_fract_y
_atom_site_fract_z
_atom_site_occupancy
Sn1 0.500 0.742 0.742 1
In1 0.500 0.260 0.001 1
In2 0.500 0.001 0.260 1
Dy1 0.000 0.590 0.001 1
Dy2 0.000 0.409 0.409 1
Dy3 0.000 0.001 0.590 1
Pt1 0.500 0.334 0.667 1
Pt2 0.500 0.667 0.334 1
Pd1 0.000 0.997 0.997 1
# - total energy (eV per atom) = -5.503


Entry 2:
# CuAgBIr PBE relaxed
data_CuAgBIr
_chemical_formula_sum 'Cu1 Ag1 B1 Ir1'
_space_group_name_H-M_alt 'P 1'
_space_group_IT_number 1
_space_group_name_Hall 'P 1'
_cell_length_a 4.181
_cell_length_b 4.181
_cell_length_c 4.181
_cell_angle_alpha 60.00
_cell_angle_beta 60.00
_cell_angle_gamma 60.00
loop_
_atom_site_label
_atom_site_fract_x
_atom_site_fract_y
_atom_site_fract_z
_atom_site_occupancy
Ir1 0.250 0.250 0.250 1
Ag1 0.500 0.500 0.500 1
Cu1 0.750 0.750 0.750 1
B1 0.000 0.000 0.000 1
# - total energy (eV per atom) = -4.754
# - polymorph energy (0 for the lowest one) (eV/atom) = 0.000


Entry 3:
# HfGa2Re2 PBE relaxed
data_HfGa2Re2
_chemical_formula_sum 'Hf1 Ga2 Re2'
_space_group_name_H-M_alt 'P 1'
_space_group_IT_number 1
_space_group_name_Hall 'P 1'
_cell_length_a 4.169
_cell_length_b 4.169
_cell_length_c 5.964
_cell_angle_alpha 110.46
_cell_angle_beta 110.46
_cell_angle_gamma 90.00
loop_
_atom_site_label
_atom_site_fract_x
_atom_site_fract_y
_atom_site_fract_z
_atom_site_occupancy
Ga1 0.750 0.250 0.500 1
Ga2 0.250 0.750 0.500 1
Hf1 0.000 0.000 0.000 1
Re1 0.609 0.609 0.218 1
Re2 0.391 0.391 0.782 1
# - total energy (eV per atom) = -7.907
# - polymorph energy (0 for the lowest one) (eV/atom) = 0.145


Entry 4:
# BeCoCuMo PBE relaxed
data_BeCoCuMo
_chemical_formula_sum 'Be1 Co1 Cu1 Mo1'
_space_group_name_H-M_alt 'P 1'
_space_group_IT_number 1
_space_group_name_Hall 'P 1'
_cell_length_a 4.020
_cell_length_b 4.020
_cell_length_c 4.020
_cell_angle_alpha 60.00
_cell_angle_beta 60.00
_cell_angle_gamma 60.00
loop_
_atom_site_label
_atom_site_fract_x
_atom_site_fract_y
_atom_site_fract_z
_atom_site_occupancy
Be1 0.750 0.750 0.750 1
Cu1 0.250 0.250 0.250 1
Co1 0.500 0.500 0.500 1
Mo1 0.000 0.000 0.000 1
# - total energy (eV per atom) = -6.100
# - polymorph energy (0 for the lowest one) (eV/atom) = 0.216


Entry 5:
# MgZnPO PBE relaxed
data_MgZnPO
_chemical_formula_sum 'Mg2 Zn2 P2 O2'
_space_group_name_H-M_alt 'P 1'
_space_group_IT_number 1
_space_group_name_Hall 'P 1'
_cell_length_a 3.046
_cell_length_b 6.650
_cell_length_c 6.188
_cell_angle_alpha 90.00
_cell_angle_beta 90.00
_cell_angle_gamma 90.00
loop_
_atom_site_label
_atom_site_fract_x
_atom_site_fract_y
_atom_site_fract_z
_atom_site_occupancy
Zn1 0.500 0.319 0.969 1
Zn2 0.500 0.681 0.469 1
P1 0.500 0.347 0.351 1
P2 0.500 0.653 0.851 1
O1 0.000 0.137 0.873 1
O2 0.000 0.863 0.373 1
Mg1 0.000 0.901 0.062 1
Mg2 0.000 0.099 0.562 1
# - total energy (eV per atom) = -4.323


Entry 6:
# Nd3Fe PBE relaxed
data_Nd3Fe
_chemical_formula_sum 'Nd3 Fe1'
_space_group_name_H-M_alt 'P 1'
_space_group_IT_number 1
_space_group_name_Hall 'P 1'
_cell_length_a 5.998
_cell_length_b 5.998
_cell_length_c 5.998
_cell_angle_alpha 133.66
_cell_angle_beta 133.66
_cell_angle_gamma 67.62
loop_
_atom_site_label
_atom_site_fract_x
_atom_site_fract_y
_atom_site_fract_z
_atom_site_occupancy
Fe1 0.000 0.000 0.000 1
Nd1 0.250 0.750 0.500 1
Nd2 0.750 0.250 0.500 1
Nd3 0.500 0.500 0.000 1
# - formation enthalpy at 0 K (meV/atom) = 377
# - total energy (eV per atom) = -5.272


Entry 7:
# BeNiSnAu PBE relaxed
data_BeNiSnAu
_chemical_formula_sum 'Be1 Ni1 Sn1 Au1'
_space_group_name_H-M_alt 'P 1'
_space_group_IT_number 1
_space_group_name_Hall 'P 1'
_cell_length_a 4.389
_cell_length_b 4.389
_cell_length_c 4.389
_cell_angle_alpha 60.00
_cell_angle_beta 60.00
_cell_angle_gamma 60.00
loop_
_atom_site_label
_atom_site_fract_x
_atom_site_fract_y
_atom_site_fract_z
_atom_site_occupancy
Au1 0.500 0.500 0.500 1
Sn1 0.000 0.000 0.000 1
Be1 0.250 0.250 0.250 1
Ni1 0.750 0.750 0.750 1
# - total energy (eV per atom) = -4.043


Entry 8:
# Be6W PBE relaxed
data_Be6W
_chemical_formula_sum 'Be6 W1'
_space_group_name_H-M_alt 'P 1'
_space_group_IT_number 1
_space_group_name_Hall 'P 1'
_cell_length_a 4.419
_cell_length_b 4.419
_cell_length_c 4.419
_cell_angle_alpha 63.80
_cell_angle_beta 63.80
_cell_angle_gamma 63.80
loop_
_atom_site_label
_atom_site_fract_x
_atom_site_fract_y
_atom_site_fract_z
_atom_site_occupancy
Be1 0.400 0.399 0.916 1
Be2 0.916 0.400 0.399 1
Be3 0.084 0.600 0.601 1
Be4 0.600 0.601 0.084 1
Be5 0.399 0.916 0.400 1
Be6 0.601 0.084 0.600 1
W1 0.000 0.000 0.000 1
# - total energy (eV per atom) = -4.902


Entry 9:
# CoSiIrW PBE relaxed
data_CoSiIrW
_chemical_formula_sum 'Co1 Si1 Ir1 W1'
_space_group_name_H-M_alt 'P 1'
_space_group_IT_number 1
_space_group_name_Hall 'P 1'
_cell_length_a 4.254
_cell_length_b 4.254
_cell_length_c 4.254
_cell_angle_alpha 60.00
_cell_angle_beta 60.00
_cell_angle_gamma 60.00
loop_
_atom_site_label
_atom_site_fract_x
_atom_site_fract_y
_atom_site_fract_z
_atom_site_occupancy
Co1 0.750 0.750 0.750 1
Si1 0.000 0.000 0.000 1
W1 0.250 0.250 0.250 1
Ir1 0.500 0.500 0.500 1
# - total energy (eV per atom) = -8.566
# - polymorph energy (0 for the lowest one) (eV/atom) = 0.000


Entry 10:
# Cs2CdBr4 PBE relaxed
data_Cs2CdBr4
_chemical_formula_sum 'Cs4 Cd2 Br8'
_space_group_name_H-M_alt 'P 1'
_space_group_IT_number 1
_space_group_name_Hall 'P 1'
_cell_length_a 8.104
_cell_length_b 7.906
_cell_length_c 10.269
_cell_angle_alpha 90.00
_cell_angle_beta 108.89
_cell_angle_gamma 90.00
loop_
_atom_site_label
_atom_site_fract_x
_atom_site_fract_y
_atom_site_fract_z
_atom_site_occupancy
Cs1 0.216 0.250 0.427 1
Cs2 0.715 0.750 0.050 1
Cs3 0.285 0.250 0.950 1
Cs4 0.784 0.750 0.573 1
Br1 0.502 0.007 0.268 1
Br2 0.112 0.750 0.941 1
Br3 0.915 0.250 0.635 1
Br4 0.888 0.250 0.059 1
Br5 0.498 0.507 0.732 1
Br6 0.085 0.750 0.365 1
Br7 0.498 0.993 0.732 1
Br8 0.502 0.493 0.268 1
Cd1 0.717 0.250 0.793 1
Cd2 0.283 0.750 0.207 1
# - total energy (eV per atom) = -2.763


Entry 11:
# CdBiAsO PBE relaxed
data_CdBiAsO
_chemical_formula_sum 'Cd2 Bi2 As2 O2'
_space_group_name_H-M_alt 'P 1'
_space_group_IT_number 1
_space_group_name_Hall 'P 1'
_cell_length_a 8.160
_cell_length_b 6.434
_cell_length_c 6.434
_cell_angle_alpha 34.46
_cell_angle_beta 90.00
_cell_angle_gamma 90.00
loop_
_atom_site_label
_atom_site_fract_x
_atom_site_fract_y
_atom_site_fract_z
_atom_site_occupancy
Cd1 0.250 0.000 0.000 1
Cd2 0.750 0.000 0.000 1
As1 0.000 0.160 0.160 1
As2 0.500 0.840 0.840 1
Bi1 0.000 0.387 0.387 1
Bi2 0.500 0.613 0.613 1
O1 0.000 0.669 0.669 1
O2 0.500 0.331 0.331 1
# - total energy (eV per atom) = -3.746
# - polymorph energy (0 for the lowest one) (eV/atom) = 0.363


Entry 12:
# HfIrW2 PBE relaxed
data_HfIrW2
_chemical_formula_sum 'Hf1 Ir1 W2'
_space_group_name_H-M_alt 'P 1'
_space_group_IT_number 1
_space_group_name_Hall 'P 1'
_cell_length_a 4.550
_cell_length_b 4.550
_cell_length_c 4.550
_cell_angle_alpha 60.00
_cell_angle_beta 60.00
_cell_angle_gamma 60.00
loop_
_atom_site_label
_atom_site_fract_x
_atom_site_fract_y
_atom_site_fract_z
_atom_site_occupancy
W1 0.750 0.750 0.750 1
W2 0.000 0.000 0.000 1
Ir1 0.250 0.250 0.250 1
Hf1 0.500 0.500 0.500 1
# - formation enthalpy at 0 K (meV/atom) = -177
# - total energy (eV per atom) = -11.359